(1)
Density functional theory data (SCAN) for Tl2AsAu at its PBEsol-relaxed geometry.

Summary:
Relative energy among the computed polymorphs in eV/atom: 0.000
Magnetic moment in μB/f.u.: 0.0
Density of states at the Fermi level in states/eV per atom: 0.1666
Energy of formation from the pure elements in eV/atom: -0.11

Lattice parameters (Å, degrees): 4.3577 4.3577 6.8248 71.38 71.38 60.00
Last column: nearest neighbours and their distance in Å.
Fractional coordinates of all 4 atoms:
Tl  0.9803  0.9803  0.0591  3 Au 3.11, 3 As 3.29, 3 Tl 3.41
Tl  0.7682  0.7682  0.6953  3 As 3.16, 3 Au 3.35, 3 Tl 3.41
Au  0.2179  0.2179  0.3463  3 As 2.53
As  0.5352  0.5352  0.3943  3 Au 2.53

(2)
Density functional theory data (SCAN) for AsWAu2 at its PBEsol-relaxed geometry.

Summary:
Magnetic moment in μB/f.u.: 0.0
Density of states at the Fermi level in states/eV per atom: 0.4271
Energy of formation from the pure elements in eV/atom: 0.46

Lattice parameters (Å, degrees): 2.7745 5.2148 5.2148 118.54 90.00 90.00
Last column: nearest neighbours and their distance in Å.
Fractional coordinates of all 4 atoms:
As  0.5000  0.5000  0.5000  2 W 2.66, 2 As 2.77, 8 Au 2.95
W  0.5000  0.0000  0.0000  2 As 2.66, 2 W 2.77, 8 Au 2.95
Au  0.0000  0.0000  0.5000  4 Au 2.66-2.77, 4 W 2.95, 4 As 2.95
Au  0.0000  0.5000  0.0000  4 Au 2.66-2.77, 4 As 2.95, 4 W 2.95

(3)
Density functional theory data (SCAN) for AsWAu2 at its PBEsol-relaxed geometry.

Summary:
Magnetic moment in μB/f.u.: 0.0
Density of states at the Fermi level in states/eV per atom: 0.7449
Energy of formation from the pure elements in eV/atom: 0.55

Lattice parameters (Å, degrees): 3.0378 4.4159 4.9266 90.00 90.00 90.00
Last column: nearest neighbours and their distance in Å.
Fractional coordinates of all 4 atoms:
As  0.0000  0.5000  0.5000  4 W 2.68, 4 Au 2.89
Au  0.5000  0.5000  0.0000  4 Au 2.68, 4 As 2.89
Au  0.0000  0.0000  0.0000  4 Au 2.68, 4 W 2.89
W  0.5000  0.0000  0.5000  4 As 2.68, 4 Au 2.89

(4)
Density functional theory data (SCAN) for AsWAu at its PBEsol-relaxed geometry.

Summary:
Magnetic moment in μB/f.u.: 0.0
Density of states at the Fermi level in states/eV per atom: 0.4175
Energy of formation from the pure elements in eV/atom: 0.43

Lattice parameters (Å, degrees): 2.7628 2.7628 7.3995 97.55 97.55 107.26
Last column: nearest neighbours and their distance in Å.
Fractional coordinates of all 3 atoms:
W  0.3392  0.3392  0.6784  2 As 2.60, 4 W 2.76, 2 Au 2.80
Au  0.6816  0.6816  0.3632  4 Au 2.76, 2 W 2.80
As  0.9792  0.9792  0.9584  2 W 2.60, 4 As 2.76

(5)
Density functional theory data (SCAN) for AsWAu2 at its PBEsol-relaxed geometry.

Summary:
Magnetic moment in μB/f.u.: 0.0
Density of states at the Fermi level in states/eV per atom: 0.6089
Energy of formation from the pure elements in eV/atom: 0.40

Lattice parameters (Å, degrees): 2.7056 4.8430 6.2623 112.75 102.48 90.00
Last column: nearest neighbours and their distance in Å.
Fractional coordinates of all 4 atoms:
Au  0.7820  0.2820  0.5640  2 Au 2.71, 2 W 2.72, 4 As 2.95
Au  0.0325  0.0325  0.0650  2 Au 2.71, 4 W 2.81, 2 As 3.02
As  0.1935  0.6935  0.3869  2 W 2.64, 2 As 2.71, 4 Au 2.95
W  0.4920  0.4920  0.9841  2 As 2.64, 2 W 2.71, 6 Au 2.72-2.81

(6)
Density functional theory data (SCAN) for AsWAu2 at its PBEsol-relaxed geometry.

Summary:
Magnetic moment in μB/f.u.: 0.0
Density of states at the Fermi level in states/eV per atom: 0.3618
Energy of formation from the pure elements in eV/atom: 0.32

Lattice parameters (Å, degrees): 2.7662 2.7662 9.4734 90.00 90.00 107.32
Last column: nearest neighbours and their distance in Å.
Fractional coordinates of all 4 atoms:
W  0.0000  0.0000  0.4964  2 As 2.61, 4 W 2.77, 2 Au 2.81
Au  0.5000  0.5000  0.7369  6 Au 2.77-2.86, 2 W 2.81
Au  0.0000  0.0000  0.9847  6 Au 2.77-2.86
As  0.5000  0.5000  0.2820  2 W 2.61, 4 As 2.77

(7)
Density functional theory data (SCAN) for AsWAu2 at its PBEsol-relaxed geometry.

Summary:
Magnetic moment in μB/f.u.: 0.0
Density of states at the Fermi level in states/eV per atom: 0.6324
Energy of formation from the pure elements in eV/atom: 0.51

Lattice parameters (Å, degrees): 2.7983 4.6777 5.2318 90.00 104.33 90.00
Last column: nearest neighbours and their distance in Å.
Fractional coordinates of all 4 atoms:
Au  0.8583  0.0000  0.7447  5 Au 2.59-2.86, 2 As 2.73
Au  0.1417  0.0000  0.2553  5 Au 2.59-2.86, 2 As 2.73
W  0.5000  0.5000  0.0000  2 As 2.62, 2 W 2.80
As  0.5000  0.5000  0.5000  2 W 2.62, 4 Au 2.73, 2 As 2.80

(8)
Density functional theory data (SCAN) for YAsAu2 at its PBEsol-relaxed geometry.

Summary:
Magnetic moment in μB/f.u.: 0.0
Density of states at the Fermi level in states/eV per atom: 0.2612
Energy of formation from the pure elements in eV/atom: -0.74

Lattice parameters (Å, degrees): 3.6683 4.3604 5.3257 90.00 106.55 90.00
Last column: nearest neighbours and their distance in Å.
Fractional coordinates of all 4 atoms:
Y  0.5000  0.5000  0.0000  2 As 2.77, 4 Au 3.05
As  0.0000  0.5000  0.5000  4 Au 2.66, 2 Y 2.77
Au  0.1621  0.0000  0.2678  2 As 2.66, 2 Au 2.76-2.96
Au  0.8379  0.0000  0.7322  2 As 2.66, 2 Au 2.76-2.96

(9)
Density functional theory data (SCAN) for Y2AsAu at its PBEsol-relaxed geometry.

Summary:
Magnetic moment in μB/f.u.: 0.0
Density of states at the Fermi level in states/eV per atom: 0.9667
Energy of formation from the pure elements in eV/atom: -1.27

Lattice parameters (Å, degrees): 4.1005 4.1005 5.8204 90.00 90.00 90.00
Last column: nearest neighbours and their distance in Å.
Fractional coordinates of all 4 atoms:
Y  0.5000  0.5000  0.0000  4 As 2.90, 2 Au 2.91
Y  0.0000  0.0000  0.5000  4 Au 2.90, 2 As 2.91
Au  0.5000  0.5000  0.5000  6 Y 2.90-2.91
As  0.0000  0.0000  0.0000  6 Y 2.90-2.91

(10)
Density functional theory data (SCAN) for Y2AsAu at its PBEsol-relaxed geometry.

Summary:
Magnetic moment in μB/f.u.: 0.0
Density of states at the Fermi level in states/eV per atom: 0.5000
Energy of formation from the pure elements in eV/atom: -1.06

Lattice parameters (Å, degrees): 4.0920 4.0920 6.0385 109.81 109.81 90.00
Last column: nearest neighbours and their distance in Å.
Fractional coordinates of all 4 atoms:
Y  0.0000  0.0000  0.0000  4 As 2.89
Y  0.7500  0.2500  0.5000  4 Au 2.89
Au  0.2500  0.7500  0.5000  4 Y 2.89
As  0.5000  0.5000  0.0000  4 Y 2.89

(11)
Density functional theory data (SCAN) for YAsAu2 at its PBEsol-relaxed geometry.

Summary:
Magnetic moment in μB/f.u.: 0.0
Density of states at the Fermi level in states/eV per atom: 0.1456
Energy of formation from the pure elements in eV/atom: -0.72

Lattice parameters (Å, degrees): 4.5491 4.8311 4.8311 63.38 61.91 61.91
Last column: nearest neighbours and their distance in Å.
Fractional coordinates of all 4 atoms:
Au  0.7348  0.7652  0.7652  4 Au 2.90-3.02, 4 Y 2.93-2.99, 1 As 3.06
Au  0.9729  0.0271  0.0271  2 As 2.60, 2 Au 2.90
Y  0.5043  0.4957  0.4957  5 Au 2.93-3.21, 4 As 2.94-2.99
As  0.2880  0.2120  0.2120  2 Au 2.60

(12)
Density functional theory data (SCAN) for ZnAs2Au at its PBEsol-relaxed geometry.

Summary:
Magnetic moment in μB/f.u.: 0.0
Density of states at the Fermi level in states/eV per atom: 0.3301
Energy of formation from the pure elements in eV/atom: 0.17

Lattice parameters (Å, degrees): 2.8168 3.8095 6.6054 90.00 90.00 90.00
Last column: nearest neighbours and their distance in Å.
Fractional coordinates of all 4 atoms:
As  0.5000  0.5000  0.2896  4 Au 2.80, 2 As 2.82, 1 Zn 3.00
As  0.0000  0.0000  0.9513  4 Zn 2.74, 2 As 2.82, 1 Au 2.88
Zn  0.5000  0.5000  0.7431  5 As 2.74-3.00, 4 Au 2.80, 2 Zn 2.82
Au  0.0000  0.0000  0.5161  5 As 2.80-2.88, 4 Zn 2.80, 2 Au 2.82